# AcGdMgIr | Alexandria | GGA-PBE | optimized geometry
# Electronic total energy ... -7.418 eV per atom
# Theoretical density ... 9.6 g/cm3
# Energy of formation ... -257 meV per atom
data_AcGdMgIr
_space_group_name_H-M_alt 'F -4 3 m'
_space_group_IT_number 216
_space_group_name_Hall 'F -4 2 3'
_cell_length_a 7.466
_cell_length_b 7.466
_cell_length_c 7.466
_cell_angle_alpha 90.00
_cell_angle_beta 90.00
_cell_angle_gamma 90.00
loop_
_atom_site_label
_atom_site_type_symbol
_atom_site_fract_x
_atom_site_fract_y
_atom_site_fract_z
_atom_site_occupancy
Ac1 Ac 0.000 0.000 0.000 1
Gd1 Gd 0.000 0.000 0.500 1
Mg1 Mg 0.250 0.250 0.750 1
Ir1 Ir 0.250 0.250 0.250 1